Record 1
Compound: PuZr3
Source: Alexandria
Functional: GGA-PBE
Structure: optimized geometry

Values from the calculation:
Energy relative to the lowest polymorph listed for this composition: 0.024 eV/atom
Symmetry: No. 44
Formation energy: 79 meV/atom
Fermi-level density of states: 1.97 states/eV per atom

The structure in CIF format:
```
data_PuZr3
_chemical_formula_sum 'Pu1 Zr3'
_space_group_name_H-M_alt 'P 1'
_space_group_IT_number 1
_space_group_name_Hall 'P 1'
_cell_length_a 3.1906
_cell_length_b 5.6323
_cell_length_c 6.1826
_cell_angle_alpha 117.10
_cell_angle_beta 104.95
_cell_angle_gamma 90.00
loop_
_atom_site_label
_atom_site_fract_x
_atom_site_fract_y
_atom_site_fract_z
Zr1 0.2433 0.5611 0.4865
Zr2 0.5000 0.5202 0.0000
Zr3 0.7567 0.0746 0.5135
Pu1 0.0000 0.0108 0.0000
```

---

Record 2
Compound: PuZr2
Source: Alexandria
Functional: GGA-PBE
Structure: optimized geometry

Values from the calculation:
Symmetry: No. 12
Formation energy: 103 meV/atom
Fermi-level density of states: 2.28 states/eV per atom

The structure in CIF format:
```
data_PuZr2
_chemical_formula_sum 'Pu2 Zr4'
_space_group_name_H-M_alt 'P 1'
_space_group_IT_number 1
_space_group_name_Hall 'P 1'
_cell_length_a 3.1580
_cell_length_b 7.8123
_cell_length_c 6.1855
_cell_angle_alpha 104.83
_cell_angle_beta 104.79
_cell_angle_gamma 90.00
loop_
_atom_site_label
_atom_site_fract_x
_atom_site_fract_y
_atom_site_fract_z
Pu1 0.3286 0.6557 0.6572
Pu2 0.3936 0.2888 0.7872
Zr1 0.9953 0.9822 0.9907
Zr2 0.6549 0.3200 0.3097
Zr3 0.0674 0.6245 0.1347
Zr4 0.7269 0.9622 0.4538
```

---

Record 3
Compound: Pu2Zr13
Source: Alexandria
Functional: GGA-PBE
Structure: optimized geometry

Values from the calculation:
Symmetry: No. 2
Formation energy: 42 meV/atom
Fermi-level density of states: 1.34 states/eV per atom

The structure in CIF format:
```
data_Pu2Zr13
_chemical_formula_sum 'Pu2 Zr13'
_space_group_name_H-M_alt 'P 1'
_space_group_IT_number 1
_space_group_name_Hall 'P 1'
_cell_length_a 5.9431
_cell_length_b 8.1169
_cell_length_c 8.0914
_cell_angle_alpha 114.64
_cell_angle_beta 81.49
_cell_angle_gamma 98.55
loop_
_atom_site_label
_atom_site_fract_x
_atom_site_fract_y
_atom_site_fract_z
Pu1 0.8977 0.7670 0.5674
Pu2 0.1023 0.2330 0.4326
Zr1 0.7009 0.6326 0.0336
Zr2 0.2991 0.3674 0.9664
Zr3 0.0000 0.0000 0.0000
Zr4 0.2916 0.0295 0.6307
Zr5 0.7084 0.9705 0.3693
Zr6 0.1007 0.5638 0.7604
Zr7 0.8993 0.4362 0.2396
Zr8 0.4003 0.6012 0.3993
Zr9 0.5997 0.3988 0.6007
Zr10 0.5070 0.8340 0.8310
Zr11 0.4930 0.1660 0.1690
Zr12 0.7997 0.2019 0.8025
Zr13 0.2003 0.7981 0.1975
```

---

Record 4
Compound: PuZr3
Source: Alexandria
Functional: GGA-PBE
Structure: optimized geometry

Values from the calculation:
Energy relative to the lowest polymorph listed for this composition: 0.018 eV/atom
Symmetry: No. 123
Formation energy: 73 meV/atom
Fermi-level density of states: 2.15 states/eV per atom

The structure in CIF format:
```
data_PuZr3
_chemical_formula_sum 'Pu1 Zr3'
_space_group_name_H-M_alt 'P 1'
_space_group_IT_number 1
_space_group_name_Hall 'P 1'
_cell_length_a 4.5504
_cell_length_b 4.5410
_cell_length_c 6.4356
_cell_angle_alpha 134.87
_cell_angle_beta 90.00
_cell_angle_gamma 90.00
loop_
_atom_site_label
_atom_site_fract_x
_atom_site_fract_y
_atom_site_fract_z
Pu1 0.0000 0.5000 0.5000
Zr1 0.5000 0.0000 0.5000
Zr2 0.0000 0.5000 0.0000
Zr3 0.5000 0.0000 0.0000
```

---

Record 5
Compound: Pu5Zr
Source: Alexandria
Functional: GGA-PBE
Structure: optimized geometry

Values from the calculation:
Symmetry: No. 65
Formation energy: 215 meV/atom
Fermi-level density of states: 4.50 states/eV per atom

The structure in CIF format:
```
data_Pu5Zr
_chemical_formula_sum 'Pu5 Zr1'
_space_group_name_H-M_alt 'P 1'
_space_group_IT_number 1
_space_group_name_Hall 'P 1'
_cell_length_a 4.6311
_cell_length_b 4.5098
_cell_length_c 7.4033
_cell_angle_alpha 107.73
_cell_angle_beta 90.00
_cell_angle_gamma 90.00
loop_
_atom_site_label
_atom_site_fract_x
_atom_site_fract_y
_atom_site_fract_z
Zr1 0.0000 0.0000 0.0000
Pu1 0.5000 0.8426 0.6853
Pu2 0.0000 0.6637 0.3275
Pu3 0.5000 0.5000 0.0000
Pu4 0.0000 0.3363 0.6725
Pu5 0.5000 0.1574 0.3147
```

---

Record 6
Compound: Pu4Zr
Source: Alexandria
Functional: GGA-PBE
Structure: optimized geometry

Values from the calculation:
Energy relative to the lowest polymorph listed for this composition: 0.000 eV/atom
Symmetry: No. 69
Formation energy: 179 meV/atom
Fermi-level density of states: 3.91 states/eV per atom

The structure in CIF format:
```
data_Pu4Zr
_chemical_formula_sum 'Pu4 Zr1'
_space_group_name_H-M_alt 'P 1'
_space_group_IT_number 1
_space_group_name_Hall 'P 1'
_cell_length_a 3.1982
_cell_length_b 3.1982
_cell_length_c 11.8546
_cell_angle_alpha 82.27
_cell_angle_beta 82.27
_cell_angle_gamma 90.15
loop_
_atom_site_label
_atom_site_fract_x
_atom_site_fract_y
_atom_site_fract_z
Pu1 0.3997 0.3997 0.2007
Pu2 0.8006 0.8006 0.3989
Pu3 0.1994 0.1994 0.6011
Pu4 0.6003 0.6003 0.7993
Zr1 0.0000 0.0000 0.0000
```

---

Record 7
Compound: Pu4Zr
Source: Alexandria
Functional: GGA-PBE
Structure: optimized geometry

Values from the calculation:
Energy relative to the lowest polymorph listed for this composition: 0.742 eV/atom
Symmetry: No. 221
Formation energy: 920 meV/atom
Fermi-level density of states: 6.39 states/eV per atom

The structure in CIF format:
```
data_Pu4Zr
_chemical_formula_sum 'Pu4 Zr1'
_space_group_name_H-M_alt 'P 1'
_space_group_IT_number 1
_space_group_name_Hall 'P 1'
_cell_length_a 5.4519
_cell_length_b 5.4519
_cell_length_c 5.4519
_cell_angle_alpha 90.00
_cell_angle_beta 90.00
_cell_angle_gamma 90.00
loop_
_atom_site_label
_atom_site_fract_x
_atom_site_fract_y
_atom_site_fract_z
Zr1 0.5000 0.5000 0.5000
Pu1 0.0000 0.0000 0.0000
Pu2 0.5000 0.0000 0.5000
Pu3 0.0000 0.5000 0.5000
Pu4 0.5000 0.5000 0.0000
```

---

Record 8
Compound: Pu6Zr
Source: Alexandria
Functional: GGA-PBE
Structure: optimized geometry

Values from the calculation:
Symmetry: No. 229
Formation energy: 260 meV/atom
Fermi-level density of states: 2.17 states/eV per atom

The structure in CIF format:
```
data_Pu6Zr
_chemical_formula_sum 'Pu6 Zr1'
_space_group_name_H-M_alt 'P 1'
_space_group_IT_number 1
_space_group_name_Hall 'P 1'
_cell_length_a 5.7612
_cell_length_b 5.7612
_cell_length_c 5.7612
_cell_angle_alpha 109.47
_cell_angle_beta 109.47
_cell_angle_gamma 109.47
loop_
_atom_site_label
_atom_site_fract_x
_atom_site_fract_y
_atom_site_fract_z
Pu1 0.2500 0.7500 0.5000
Pu2 0.5000 0.7500 0.2500
Pu3 0.2500 0.5000 0.7500
Pu4 0.7500 0.2500 0.5000
Pu5 0.5000 0.2500 0.7500
Pu6 0.7500 0.5000 0.2500
Zr1 0.0000 0.0000 0.0000
```

---

Record 9
Compound: PuZr3
Source: Alexandria
Functional: GGA-PBE
Structure: optimized geometry

Values from the calculation:
Energy relative to the lowest polymorph listed for this composition: 0.000 eV/atom
Symmetry: No. 139
Formation energy: 55 meV/atom
Fermi-level density of states: 1.58 states/eV per atom

The structure in CIF format:
```
data_PuZr3
_chemical_formula_sum 'Pu1 Zr3'
_space_group_name_H-M_alt 'P 1'
_space_group_IT_number 1
_space_group_name_Hall 'P 1'
_cell_length_a 4.5565
_cell_length_b 4.5565
_cell_length_c 5.5580
_cell_angle_alpha 114.20
_cell_angle_beta 114.20
_cell_angle_gamma 90.00
loop_
_atom_site_label
_atom_site_fract_x
_atom_site_fract_y
_atom_site_fract_z
Zr1 0.7500 0.2500 0.5000
Zr2 0.2500 0.7500 0.5000
Zr3 0.5000 0.5000 0.0000
Pu1 0.0000 0.0000 0.0000
```

---

Record 10
Compound: PuZr3
Source: Alexandria
Functional: GGA-PBE
Structure: optimized geometry

Values from the calculation:
Energy relative to the lowest polymorph listed for this composition: 0.105 eV/atom
Symmetry: No. 63
Formation energy: 160 meV/atom
Fermi-level density of states: 1.62 states/eV per atom

The structure in CIF format:
```
data_PuZr3
_chemical_formula_sum 'Pu4 Zr12'
_space_group_name_H-M_alt 'P 1'
_space_group_IT_number 1
_space_group_name_Hall 'P 1'
_cell_length_a 3.9992
_cell_length_b 9.2022
_cell_length_c 9.6101
_cell_angle_alpha 90.00
_cell_angle_beta 90.00
_cell_angle_gamma 90.00
loop_
_atom_site_label
_atom_site_fract_x
_atom_site_fract_y
_atom_site_fract_z
Pu1 0.7499 0.3171 0.2500
Pu2 0.7501 0.8171 0.7500
Pu3 0.2499 0.1829 0.2500
Pu4 0.2501 0.6829 0.7500
Zr1 0.2500 0.0948 0.7500
Zr2 0.7500 0.6200 0.0081
Zr3 0.7500 0.6200 0.4919
Zr4 0.7500 0.1200 0.5081
Zr5 0.7500 0.1200 0.9919
Zr6 0.2500 0.5948 0.2500
Zr7 0.7500 0.4052 0.7500
Zr8 0.2500 0.8800 0.0081
Zr9 0.2500 0.8800 0.4919
Zr10 0.2500 0.3800 0.5081
Zr11 0.2500 0.3800 0.9919
Zr12 0.7500 0.9052 0.2500
```

---

Record 11
Compound: RbRe4
Source: Alexandria
Functional: GGA-PBE
Structure: optimized geometry

Values from the calculation:
Symmetry: No. 221
Formation energy: 4302 meV/atom
Fermi-level density of states: 0.87 states/eV per atom

The structure in CIF format:
```
data_RbRe4
_chemical_formula_sum 'Rb1 Re4'
_space_group_name_H-M_alt 'P 1'
_space_group_IT_number 1
_space_group_name_Hall 'P 1'
_cell_length_a 4.5684
_cell_length_b 4.5684
_cell_length_c 4.5684
_cell_angle_alpha 90.00
_cell_angle_beta 90.00
_cell_angle_gamma 90.00
loop_
_atom_site_label
_atom_site_fract_x
_atom_site_fract_y
_atom_site_fract_z
Re1 0.0000 0.0000 0.0000
Re2 0.5000 0.0000 0.5000
Re3 0.0000 0.5000 0.5000
Re4 0.5000 0.5000 0.0000
Rb1 0.5000 0.5000 0.5000
```

---

Record 12
Compound: RbReRh2
Source: Alexandria
Functional: GGA-PBE
Structure: optimized geometry

Values from the calculation:
Energy relative to the lowest polymorph listed for this composition: 0.000 eV/atom
Symmetry: No. 122
Formation energy: 1103 meV/atom
Fermi-level density of states: 1.20 states/eV per atom

The structure in CIF format:
```
data_RbReRh2
_chemical_formula_sum 'Rb2 Re2 Rh4'
_space_group_name_H-M_alt 'P 1'
_space_group_IT_number 1
_space_group_name_Hall 'P 1'
_cell_length_a 7.5106
_cell_length_b 7.5106
_cell_length_c 6.3308
_cell_angle_alpha 53.62
_cell_angle_beta 53.62
_cell_angle_gamma 90.00
loop_
_atom_site_label
_atom_site_fract_x
_atom_site_fract_y
_atom_site_fract_z
Re1 0.0000 0.0000 0.0000
Re2 0.7500 0.2500 0.5000
Rh1 0.7137 0.1250 0.2500
Rh2 0.0363 0.6250 0.2500
Rh3 0.3750 0.2863 0.7500
Rh4 0.8750 0.9637 0.7500
Rb1 0.5000 0.5000 0.0000
Rb2 0.2500 0.7500 0.5000
```

---

Record 13
Compound: RbReRh2
Source: Alexandria
Functional: GGA-PBE
Structure: optimized geometry

Values from the calculation:
Energy relative to the lowest polymorph listed for this composition: 0.311 eV/atom
Symmetry: No. 225
Formation energy: 1414 meV/atom
Fermi-level density of states: 1.38 states/eV per atom

The structure in CIF format:
```
data_RbReRh2
_chemical_formula_sum 'Rb1 Re1 Rh2'
_space_group_name_H-M_alt 'P 1'
_space_group_IT_number 1
_space_group_name_Hall 'P 1'
_cell_length_a 4.6622
_cell_length_b 4.6622
_cell_length_c 4.6622
_cell_angle_alpha 60.00
_cell_angle_beta 60.00
_cell_angle_gamma 60.00
loop_
_atom_site_label
_atom_site_fract_x
_atom_site_fract_y
_atom_site_fract_z
Re1 0.5000 0.5000 0.5000
Rh1 0.2500 0.2500 0.2500
Rh2 0.7500 0.7500 0.7500
Rb1 0.0000 0.0000 0.0000
```

---

Number 1: DFT total energy -39.7 eV for the cell shown. Number 2: DFT total energy -62.2 eV for the cell shown. Number 3: DFT total energy -139.2 eV for the cell shown. Number 4: DFT total energy -39.7 eV for the cell shown. Number 5: DFT total energy -78.9 eV for the cell shown. Number 6: DFT total energy -65.0 eV for the cell shown. Number 7: DFT total energy -61.3 eV for the cell shown. Number 8: DFT total energy -92.7 eV for the cell shown. Number 9: DFT total energy -39.8 eV for the cell shown. Number 10: DFT total energy -157.3 eV for the cell shown. Number 11: DFT total energy -29.3 eV for the cell shown. Number 12: DFT total energy -47.4 eV for the cell shown. Number 13: DFT total energy -22.5 eV for the cell shown.